(1)
Below is a geometry-optimized Pm2Y3Ag2 structure, with properties calculated at the PBE level.

a = 5.4325 Å, b = 5.4308 Å, c = 8.4131 Å
α = 108.82°, β = 90.00°, γ = 120.01°
Closest atoms and distances in Å follow each position.
Positions (direct):
1 Pm 0.9242 0.8484 0.2723  4 Ag 3.20-3.31, 3 Y 3.55, 1 Pm 3.56
2 Pm 0.0758 0.1516 0.7277  4 Ag 3.20-3.31, 3 Y 3.55, 1 Pm 3.56
3 Y 0.5000 0.0000 0.0000  6 Ag 3.31
4 Y 0.6615 0.3229 0.4844  1 Ag 2.95, 3 Y 3.14-3.15
5 Y 0.3385 0.6771 0.5156  1 Ag 2.95, 3 Y 3.14-3.15
6 Ag 0.7875 0.5751 0.8627  1 Y 2.95, 2 Pm 3.20-3.31
7 Ag 0.2125 0.4249 0.1373  1 Y 2.95, 2 Pm 3.20-3.31

- size of the total moment (Bohr magnetons per cell) = 0.00
- symmetry = No. 166
- E (eV per atom) = -5.042
- V (Å³/cell) = 199.5
- E_form (eV/atom) = -0.099

=====

(2)
Below is a geometry-optimized PmYAg structure, with properties calculated at the PBE level.

a = 3.7411 Å, b = 5.0994 Å, c = 5.0994 Å
α = 120.00°, β = 90.00°, γ = 90.00°
Closest atoms and distances in Å follow each position.
Positions (direct):
1 Y 0.5934 0.6667 0.3333  3 Ag 3.07, 3 Pm 3.40
2 Ag 0.3606 0.3333 0.6667  3 Y 3.07, 3 Pm 3.17
3 Pm 0.0460 0.0000 0.0000  3 Ag 3.17, 3 Y 3.40

- size of the total moment (Bohr magnetons per cell) = 0.00
- symmetry = No. 156
- E (eV per atom) = -4.711
- V (Å³/cell) = 84.3
- E_form (eV/atom) = -0.022

=====

(3)
Below is a geometry-optimized Pm2YAg structure, with properties calculated at the PBE level.

a = 3.6742 Å, b = 3.6742 Å, c = 8.8861 Å
α = 90.00°, β = 90.00°, γ = 90.00°
Closest atoms and distances in Å follow each position.
Positions (direct):
1 Y 0.5000 0.5000 0.5000  8 Pm 3.62, 4 Y 3.67
2 Ag 0.5000 0.5000 0.0000  8 Pm 3.23
3 Pm 0.0000 0.0000 0.7841  4 Ag 3.23
4 Pm 0.0000 0.0000 0.2159  4 Ag 3.23

- size of the total moment (Bohr magnetons per cell) = 0.00
- symmetry = No. 123
- E (eV per atom) = -4.810
- V (Å³/cell) = 120.0
- E_form (eV/atom) = -0.105

=====

(4)
Below is a geometry-optimized Pm2YAg5 structure, with properties calculated at the PBE level.

a = 5.1363 Å, b = 5.1363 Å, c = 8.0271 Å
α = 108.66°, β = 108.66°, γ = 90.00°
Closest atoms and distances in Å follow each position.
Positions (direct):
1 Pm 0.7306 0.7306 0.4613  9 Ag 3.06-3.39
2 Pm 0.2694 0.2694 0.5387  9 Ag 3.06-3.39
3 Y 0.0000 0.0000 0.0000  8 Ag 3.05
4 Ag 0.5000 0.5000 0.0000  8 Ag 3.05, 2 Pm 3.30
5 Ag 0.8854 0.3854 0.7708  3 Ag 3.05-3.28, 2 Y 3.05, 4 Pm 3.06-3.39
6 Ag 0.3854 0.8854 0.7708  2 Y 3.05, 3 Ag 3.05-3.28, 4 Pm 3.06-3.39
7 Ag 0.1146 0.6146 0.2292  3 Ag 3.05-3.28, 2 Y 3.05, 4 Pm 3.06-3.39
8 Ag 0.6146 0.1146 0.2292  2 Y 3.05, 3 Ag 3.05-3.28, 4 Pm 3.06-3.39

- size of the total moment (Bohr magnetons per cell) = 0.00
- symmetry = No. 139
- E (eV per atom) = -3.995
- V (Å³/cell) = 188.8
- E_form (eV/atom) = -0.218